Entry 1:
VASP calculation (GGA-PBE) on Nd2TlBr8 after structural relaxation.

Calculated values
Total DFT energy (no corrections), eV/atom: -3.757
Volume, Å³ per atom: 37.49
Formation energy without anion corrections, eV/atom: -1.46

a b c (Å): 7.5641 7.5641 7.5692
angles (deg): 98.94 98.94 76.23
Atoms (fractional coordinates):
Nd 0.1829 0.1829 0.4529
Nd 0.8171 0.8171 0.5471
Tl 0.5000 0.5000 0.0000
Br 0.0566 0.0566 0.7464
Br 0.1713 0.5517 0.6682
Br 0.2906 0.2906 0.1409
Br 0.4483 0.8287 0.3318
Br 0.5517 0.1713 0.6682
Br 0.7094 0.7094 0.8591
Br 0.8287 0.4483 0.3318
Br 0.9434 0.9434 0.2536

Entry 2:
VASP calculation (GGA-PBE) on Nd2TlBr after structural relaxation.

Calculated values
Total DFT energy (no corrections), eV/atom: -4.070
Volume, Å³ per atom: 30.12
Formation energy without anion corrections, eV/atom: -0.68

a b c (Å): 9.8757 9.8757 9.8757
angles (deg): 22.19 22.19 22.19
Atoms (fractional coordinates):
Nd 0.0000 0.0000 0.0000
Nd 0.1736 0.1736 0.1736
Tl 0.4203 0.4203 0.4203
Br 0.5866 0.5866 0.5866

Entry 3:
VASP calculation (GGA-PBE) on Nd2TlBr after structural relaxation.

Calculated values
Total DFT energy (no corrections), eV/atom: -4.098
Volume, Å³ per atom: 30.67
Formation energy without anion corrections, eV/atom: -0.70

a b c (Å): 4.2691 5.1552 11.1481
angles (deg): 90.00 90.00 90.00
Atoms (fractional coordinates):
Nd 0.2500 0.2500 0.0408
Nd 0.2500 0.7500 0.6798
Nd 0.7500 0.2500 0.3202
Nd 0.7500 0.7500 0.9592
Tl 0.2500 0.7500 0.2076
Tl 0.7500 0.2500 0.7924
Br 0.2500 0.2500 0.5258
Br 0.7500 0.7500 0.4742